VASP calculation (PBE) on crystalline Sc2ZnAg2 at its relaxed geometry.

Calculated values
Distance to the lowest polymorph of the same formula, eV/atom: 0.0000

The structure in CIF format:
```
data_Sc2ZnAg2
_chemical_formula_sum 'Sc4 Zn2 Ag4'
_symmetry_space_group_name_H-M 'C m m m'
_symmetry_Int_Tables_number 65
_symmetry_space_group_name_Hall '-C 2 2'
_cell_length_a 3.595
_cell_length_b 16.420
_cell_length_c 3.372
_cell_angle_alpha 90.00
_cell_angle_beta 90.00
_cell_angle_gamma 90.00
loop_
_atom_site_label
_atom_site_fract_x
_atom_site_fract_y
_atom_site_fract_z
Sc1 0.000 0.097 0.000
Zn1 0.000 0.500 0.500
Ag1 0.000 0.313 0.500
```

VASP calculation (PBE) on crystalline Sc6Zn5Ag at its relaxed geometry.

The structure in CIF format:
```
data_Sc6Zn5Ag
_chemical_formula_sum 'Sc12 Zn10 Ag2'
_symmetry_space_group_name_H-M 'C m m m'
_symmetry_Int_Tables_number 65
_symmetry_space_group_name_Hall '-C 2 2'
_cell_length_a 4.756
_cell_length_b 14.283
_cell_length_c 6.732
_cell_angle_alpha 90.00
_cell_angle_beta 90.00
_cell_angle_gamma 90.00
loop_
_atom_site_label
_atom_site_fract_x
_atom_site_fract_y
_atom_site_fract_z
Sc1 0.000 0.000 0.245
Sc2 0.000 0.331 0.247
Zn1 0.000 0.166 0.000
Zn2 0.000 0.167 0.500
Zn3 0.000 0.500 0.000
Ag1 0.000 0.500 0.500
```

VASP calculation (PBE) on crystalline ScZn6Ag8 at its relaxed geometry.

The structure in CIF format:
```
data_ScZn6Ag8
_chemical_formula_sum 'Sc3 Zn18 Ag24'
_symmetry_space_group_name_H-M 'R -3'
_symmetry_Int_Tables_number 148
_symmetry_space_group_name_Hall '-R 3'
_cell_length_a 7.7149
_cell_length_b 7.7149
_cell_length_c 15.9121
_cell_angle_alpha 90.00
_cell_angle_beta 90.00
_cell_angle_gamma 120.00
loop_
_atom_site_label
_atom_site_fract_x
_atom_site_fract_y
_atom_site_fract_z
Sc1 0.0000 0.0000 0.0000
Zn1 0.0149 0.2998 0.3765
Ag1 0.0000 0.0000 0.2383
Ag2 0.0192 0.7086 0.1220
```

VASP calculation (PBE) on crystalline ScZnAg4 at its relaxed geometry.

The structure in CIF format:
```
data_ScZnAg4
_chemical_formula_sum 'Sc4 Zn4 Ag16'
_symmetry_space_group_name_H-M 'F -4 3 m'
_symmetry_Int_Tables_number 216
_symmetry_space_group_name_Hall 'F -4 2 3'
_cell_length_a 7.714
_cell_length_b 7.714
_cell_length_c 7.714
_cell_angle_alpha 90.00
_cell_angle_beta 90.00
_cell_angle_gamma 90.00
loop_
_atom_site_label
_atom_site_fract_x
_atom_site_fract_y
_atom_site_fract_z
Sc1 0.000 0.000 0.000
Zn1 0.250 0.250 0.750
Ag1 0.125 0.125 0.375
```

VASP calculation (PBE) on crystalline Sc2Zn3Ag at its relaxed geometry.

The structure in CIF format:
```
data_Sc2Zn3Ag
_chemical_formula_sum 'Sc16 Zn24 Ag8'
_symmetry_space_group_name_H-M 'F m m m'
_symmetry_Int_Tables_number 69
_symmetry_space_group_name_Hall '-F 2 2'
_cell_length_a 6.285
_cell_length_b 8.902
_cell_length_c 15.480
_cell_angle_alpha 90.00
_cell_angle_beta 90.00
_cell_angle_gamma 90.00
loop_
_atom_site_label
_atom_site_fract_x
_atom_site_fract_y
_atom_site_fract_z
Sc1 0.249 0.000 0.000
Sc2 0.250 0.250 0.250
Zn1 0.000 0.000 0.337
Zn2 0.000 0.246 0.418
Ag1 0.000 0.000 0.167
```

VASP calculation (PBE) on crystalline Sc2Zn12Ag at its relaxed geometry.

The structure in CIF format:
```
data_Sc2Zn12Ag
_chemical_formula_sum 'Sc4 Zn24 Ag2'
_symmetry_space_group_name_H-M 'P 4/n b m'
_symmetry_Int_Tables_number 125
_cell_length_a 5.431
_cell_length_b 5.431
_cell_length_c 17.386
_cell_angle_alpha 90.00
_cell_angle_beta 90.00
_cell_angle_gamma 90.00
loop_
_symmetry_equiv_pos_as_xyz
'x,y,z'
'-x,-y,-z'
'-y+1/2,x,z'
'y+1/2,-x,-z'
'-x+1/2,-y+1/2,z'
'x+1/2,y+1/2,-z'
'y,-x+1/2,z'
'-y,x+1/2,-z'
'x,-y+1/2,-z'
'-x,y+1/2,z'
'-y+1/2,-x+1/2,-z'
'y+1/2,x+1/2,z'
'-x+1/2,y,-z'
'x+1/2,-y,z'
'y,x,-z'
'-y,-x,z'
loop_
_atom_site_label
_atom_site_fract_x
_atom_site_fract_y
_atom_site_fract_z
Sc1 0.250 0.750 0.235
Zn1 0.000 0.000 0.392
Zn2 0.080 0.580 0.065
Zn3 0.250 0.250 0.157
Zn4 0.250 0.250 0.296
Ag1 0.250 0.750 0.500
```

VASP calculation (PBE) on crystalline Sc2ZnAg6 at its relaxed geometry.

The structure in CIF format:
```
data_Sc2ZnAg6
_chemical_formula_sum 'Sc4 Zn2 Ag12'
_symmetry_space_group_name_H-M 'P 42/m n m'
_symmetry_Int_Tables_number 136
_symmetry_space_group_name_Hall '-P 4n 2n'
_cell_length_a 8.906
_cell_length_b 8.906
_cell_length_c 4.118
_cell_angle_alpha 90.00
_cell_angle_beta 90.00
_cell_angle_gamma 90.00
loop_
_atom_site_label
_atom_site_fract_x
_atom_site_fract_y
_atom_site_fract_z
Sc1 0.178 0.178 0.000
Zn1 0.000 0.000 0.500
Ag1 0.011 0.333 0.500
Ag2 0.153 0.847 0.000
```

VASP calculation (PBE) on crystalline ScZn6Ag at its relaxed geometry.

The structure in CIF format:
```
data_ScZn6Ag
_chemical_formula_sum 'Sc2 Zn12 Ag2'
_symmetry_space_group_name_H-M 'A m m 2'
_symmetry_Int_Tables_number 38
_cell_length_a 4.329
_cell_length_b 6.365
_cell_length_c 9.466
_cell_angle_alpha 90.00
_cell_angle_beta 90.00
_cell_angle_gamma 90.00
loop_
_symmetry_equiv_pos_as_xyz
'x,y,z'
'-x,-y,z'
'-x,y,z'
'x,-y,z'
'x,y+1/2,z+1/2'
'-x,-y+1/2,z+1/2'
'-x,y+1/2,z+1/2'
'x,-y+1/2,z+1/2'
loop_
_atom_site_label
_atom_site_fract_x
_atom_site_fract_y
_atom_site_fract_z
Sc1 0.000 0.000 0.000
Zn1 0.000 0.000 0.548
Zn2 0.000 0.207 0.277
Zn3 0.500 0.000 0.190
Zn4 0.500 0.211 0.465
Ag1 0.500 0.000 0.742
```

VASP calculation (PBE) on crystalline ZrSc2Ag at its relaxed geometry.

Calculated values
Distance to the lowest polymorph of the same formula, eV/atom: 0.2650

The structure in CIF format:
```
data_ZrSc2Ag
_chemical_formula_sum 'Zr4 Sc8 Ag4'
_symmetry_space_group_name_H-M 'F -4 3 m'
_symmetry_Int_Tables_number 216
_symmetry_space_group_name_Hall 'F -4 2 3'
_cell_length_a 7.021
_cell_length_b 7.021
_cell_length_c 7.021
_cell_angle_alpha 90.00
_cell_angle_beta 90.00
_cell_angle_gamma 90.00
loop_
_atom_site_label
_atom_site_fract_x
_atom_site_fract_y
_atom_site_fract_z
Zr1 0.000 0.000 0.000
Sc1 0.000 0.000 0.500
Sc2 0.250 0.250 0.750
Ag1 0.250 0.250 0.250
```

VASP calculation (PBE) on crystalline ZrSc2Ag at its relaxed geometry.

Calculated values
Distance to the lowest polymorph of the same formula, eV/atom: 0.3572

The structure in CIF format:
```
data_ZrSc2Ag
_chemical_formula_sum 'Zr3 Sc6 Ag3'
_symmetry_space_group_name_H-M 'R -3 m'
_symmetry_Int_Tables_number 166
_symmetry_space_group_name_Hall '-R 3 2"'
_cell_length_a 3.0782
_cell_length_b 3.0782
_cell_length_c 32.7811
_cell_angle_alpha 90.00
_cell_angle_beta 90.00
_cell_angle_gamma 120.00
loop_
_atom_site_label
_atom_site_fract_x
_atom_site_fract_y
_atom_site_fract_z
Zr1 0.0000 0.0000 0.0000
Sc1 0.0000 0.0000 0.0922
Ag1 0.0000 0.0000 0.5000
```

VASP calculation (PBE) on crystalline Zr2ScAg at its relaxed geometry.

Calculated values
Distance to the lowest polymorph of the same formula, eV/atom: 0.1756

The structure in CIF format:
```
data_Zr2ScAg
_chemical_formula_sum 'Zr4 Sc2 Ag2'
_symmetry_space_group_name_H-M 'C 1 2/m 1'
_symmetry_Int_Tables_number 12
_cell_length_a 5.859
_cell_length_b 10.709
_cell_length_c 3.075
_cell_angle_alpha 90.00
_cell_angle_beta 115.64
_cell_angle_gamma 90.00
loop_
_symmetry_equiv_pos_as_xyz
'x,y,z'
'-x,-y,-z'
'-x,y,-z'
'x,-y,z'
'x+1/2,y+1/2,z'
'-x+1/2,-y+1/2,-z'
'-x+1/2,y+1/2,-z'
'x+1/2,-y+1/2,z'
loop_
_atom_site_label
_atom_site_fract_x
_atom_site_fract_y
_atom_site_fract_z
Zr1 0.250 0.250 0.000
Sc1 0.000 0.000 0.500
Ag1 0.000 0.500 0.500
```

VASP calculation (PBE) on crystalline Zr2ScAg at its relaxed geometry.

Calculated values
Distance to the lowest polymorph of the same formula, eV/atom: 0.0687

The structure in CIF format:
```
data_Zr2ScAg
_chemical_formula_sum 'Zr4 Sc2 Ag2'
_symmetry_space_group_name_H-M 'C 1 2/m 1'
_symmetry_Int_Tables_number 12
_cell_length_a 11.862
_cell_length_b 3.290
_cell_length_c 4.954
_cell_angle_alpha 90.00
_cell_angle_beta 114.62
_cell_angle_gamma 90.00
loop_
_symmetry_equiv_pos_as_xyz
'x,y,z'
'-x,-y,-z'
'-x,y,-z'
'x,-y,z'
'x+1/2,y+1/2,z'
'-x+1/2,-y+1/2,-z'
'-x+1/2,y+1/2,-z'
'x+1/2,-y+1/2,z'
loop_
_atom_site_label
_atom_site_fract_x
_atom_site_fract_y
_atom_site_fract_z
Zr1 0.230 0.000 0.230
Sc1 0.000 0.000 0.500
Ag1 0.000 0.500 0.000
```

| no. | raw total energy (eV/atom) | formation energy (eV per atom) | DOS(E_F) (states/eV/f.u.) |
| --- | --- | --- | --- |
| 1 | -4.1255 | -0.20 | 3.0 |
| 2 | -4.2894 | -0.36 | 10.3 |
| 3 | -2.4516 | 0.00 | 7.4 |
| 4 | -3.1687 | 0.00 | 3.9 |
| 5 | -3.5374 | -0.31 | 4.2 |
| 6 | -2.1334 | -0.08 | 5.7 |
| 7 | -3.6360 | -0.19 | 4.8 |
| 8 | -2.2381 | -0.13 | 3.2 |
| 9 | -5.8997 | 0.12 | 6.7 |
| 10 | -5.8075 | 0.21 | 5.0 |
| 11 | -6.4980 | 0.07 | 6.3 |
| 12 | -6.6049 | -0.04 | 4.5 |